Ce2ZnBi4: relaxed, GGA-PBE.

Results
* density of states at the Fermi level: 11.41 states/eV/f.u.
* M_tot: 1.5 Bohr magnetons per cell
* raw total energy: -32.23 eV for the cell shown

abc: 4.6011 4.6011 9.8317
angles: 90.00 90.00 90.00
Last column: nearest neighbours and their distance in Å.
Atoms (fractional coordinates):
Ce: 0.0000 0.5000 0.2377  2 Zn 3.28, 8 Bi 3.33-3.46
Ce: 0.5000 0.0000 0.7623  2 Zn 3.28, 8 Bi 3.33-3.46
Zn: 0.5000 0.5000 0.0000  4 Bi 2.81
Bi: 0.0000 0.0000 0.5000  4 Bi 3.25, 4 Ce 3.46
Bi: 0.0000 0.5000 0.8351  2 Zn 2.81
Bi: 0.5000 0.0000 0.1649  2 Zn 2.81
Bi: 0.5000 0.5000 0.5000  4 Bi 3.25, 4 Ce 3.46

***

NiHgCl2: relaxed, GGA-PBE.

Results
* density of states at the Fermi level: 4.27 states/eV/f.u.
* energy above the most stable polymorph in this dataset: 0.0808 eV per atom
* M_tot: 0.0 Bohr magnetons per cell
* formation energy (no corrections): -0.35 eV per atom
* raw total energy: -11.16 eV for the cell shown

abc: 4.0956 4.0956 9.8999
angles: 90.00 90.00 134.33
Last column: nearest neighbours and their distance in Å.
Atoms (fractional coordinates):
Ni: 0.0000 0.0000 0.0000  4 Cl 2.18
Hg: 0.0000 0.0000 0.5000  2 Hg 3.18
Cl: 0.5000 0.5000 0.1507  2 Ni 2.18
Cl: 0.5000 0.5000 0.8493  2 Ni 2.18

***

DySi3IrRu: relaxed, GGA-PBE.

Results
* density of states at the Fermi level: 1.78 states/eV/f.u.
* M_tot: 0.0 Bohr magnetons per cell
* formation energy (no corrections): -0.53 eV per atom
* raw total energy: -84.33 eV for the cell shown

abc: 7.4572 7.4572 5.5279
angles: 90.00 90.00 130.73
Last column: nearest neighbours and their distance in Å.
Atoms (fractional coordinates):
Dy: 0.1832 0.8168 0.7500  2 Si 2.83
Dy: 0.8168 0.1832 0.2500  2 Si 2.83
Si: 0.2276 0.7724 0.2500  1 Ru 2.23, 1 Ir 2.24
Si: 0.2872 0.2872 0.0000  2 Ir 2.40, 2 Ru 2.42, 1 Si 2.65
Si: 0.2872 0.2872 0.5000  2 Ir 2.40, 2 Ru 2.42, 1 Si 2.65
Si: 0.7128 0.7128 0.0000  2 Ir 2.40, 2 Ru 2.42, 1 Si 2.65
Si: 0.7128 0.7128 0.5000  2 Ir 2.40, 2 Ru 2.42, 1 Si 2.65
Si: 0.7724 0.2276 0.7500  1 Ru 2.23, 1 Ir 2.24
Ir: 0.3930 0.6070 0.2500  5 Si 2.24-2.40
Ir: 0.6070 0.3930 0.7500  5 Si 2.24-2.40
Ru: 0.0633 0.9367 0.2500  5 Si 2.23-2.42
Ru: 0.9367 0.0633 0.7500  5 Si 2.23-2.42

***

Which formula does entry 3 have?
DySi3IrRu

***

What is the formula in the first record?
Ce2ZnBi4

***

The lowest raw total energy belongs to which entry?
DySi3IrRu

***

What is the formula in the second record?
NiHgCl2